# PBE-GGA MnV2PbN, optimized geometry
data_MnV2PbN
_chemical_formula_sum 'Mn1 V2 Pb1 N1'
_cell_length_a 4.062
_cell_length_b 4.062
_cell_length_c 4.075
_cell_angle_alpha 90.00
_cell_angle_beta 90.00
_cell_angle_gamma 90.00
_symmetry_space_group_name_H-M 'P 4/m m m'
_symmetry_Int_Tables_number 123
_symmetry_space_group_name_Hall '-P 4 2'
loop_
_atom_site_label
_atom_site_fract_x
_atom_site_fract_y
_atom_site_fract_z
Mn1 0.000 0.000 0.000
V1 0.000 0.500 0.500
Pb1 0.500 0.500 0.000
N1 0.000 0.000 0.500
# E_form (uncorrected): -0.185 eV/atom
# crystal system: tetragonal
# density: 9.34 g/cm3
# total DFT energy (no corrections): -40.37 eV/cell


# PBE-GGA PuPdRu, optimized geometry
data_PuPdRu
_chemical_formula_sum 'Pu1 Pd1 Ru1'
_cell_length_a 4.5665
_cell_length_b 4.5665
_cell_length_c 3.0770
_cell_angle_alpha 90.00
_cell_angle_beta 90.00
_cell_angle_gamma 120.00
_symmetry_space_group_name_H-M 'P -6 m 2'
_symmetry_Int_Tables_number 187
_symmetry_space_group_name_Hall 'P -6 2'
loop_
_atom_site_label
_atom_site_fract_x
_atom_site_fract_y
_atom_site_fract_z
Pu1 0.0000 0.0000 0.0000
Pd1 0.6667 0.3333 0.5000
Ru1 0.3333 0.6667 0.5000
# ΔE to the lowest computed polymorph: 246.7 meV/atom
# crystal system: hexagonal
# E_form: -0.02 eV/atom
# density: 13.49 g/cm3
# total DFT energy (no corrections): -28.87 eV/cell


# PBE-GGA Mg2GaHg4Pb, optimized geometry
data_Mg2GaHg4Pb
_chemical_formula_sum 'Mg6 Ga3 Hg12 Pb3'
_cell_length_a 4.9372
_cell_length_b 4.9372
_cell_length_c 27.3325
_cell_angle_alpha 90.00
_cell_angle_beta 90.00
_cell_angle_gamma 120.00
_symmetry_space_group_name_H-M 'R -3 m'
_symmetry_Int_Tables_number 166
_symmetry_space_group_name_Hall '-R 3 2"'
loop_
_atom_site_label
_atom_site_fract_x
_atom_site_fract_y
_atom_site_fract_z
Mg1 0.0000 0.0000 0.2441
Ga1 0.0000 0.0000 0.5000
Hg1 0.0000 0.0000 0.1285
Hg2 0.0000 0.0000 0.3869
Pb1 0.0000 0.0000 0.0000
# crystal system: trigonal
# E_form: -0.04 eV/atom
# density: 9.74 g/cm3
# total DFT energy (no corrections): -34.30 eV/cell


# PBE-GGA GaFeAg2Sb, optimized geometry
data_GaFeAg2Sb
_chemical_formula_sum 'Ga1 Fe1 Ag2 Sb1'
_cell_length_a 4.924
_cell_length_b 4.924
_cell_length_c 4.613
_cell_angle_alpha 90.00
_cell_angle_beta 90.00
_cell_angle_gamma 90.00
_symmetry_space_group_name_H-M 'P 4/m m m'
_symmetry_Int_Tables_number 123
_symmetry_space_group_name_Hall '-P 4 2'
loop_
_atom_site_label
_atom_site_fract_x
_atom_site_fract_y
_atom_site_fract_z
Ga1 0.000 0.000 0.000
Fe1 0.000 0.000 0.500
Ag1 0.000 0.500 0.500
Sb1 0.500 0.500 0.000
# E_form (uncorrected): 0.645 eV/atom
# crystal system: tetragonal
# density: 6.87 g/cm3
# total DFT energy (no corrections): -18.09 eV/cell


# PBE-GGA AcPb3, optimized geometry
data_AcPb3
_chemical_formula_sum 'Ac4 Pb12'
_cell_length_a 8.174
_cell_length_b 8.174
_cell_length_c 8.174
_cell_angle_alpha 90.00
_cell_angle_beta 90.00
_cell_angle_gamma 90.00
_symmetry_space_group_name_H-M 'F m -3 m'
_symmetry_Int_Tables_number 225
_symmetry_space_group_name_Hall '-F 4 2 3'
loop_
_atom_site_label
_atom_site_fract_x
_atom_site_fract_y
_atom_site_fract_z
Ac1 0.000 0.000 0.000
Pb1 0.000 0.000 0.500
Pb2 0.250 0.250 0.250
# crystal system: cubic
# E_form: -0.22 eV/atom
# density: 10.32 g/cm3
# total DFT energy (no corrections): -64.48 eV/cell


# PBE-GGA Hg4Sb2Br3, optimized geometry
data_Hg4Sb2Br3
_chemical_formula_sum 'Hg16 Sb8 Br12'
_cell_length_a 14.322
_cell_length_b 13.263
_cell_length_c 7.533
_cell_angle_alpha 90.00
_cell_angle_beta 105.50
_cell_angle_gamma 90.00
_symmetry_space_group_name_H-M 'C 1 2/c 1'
_symmetry_Int_Tables_number 15
loop_
_symmetry_equiv_pos_as_xyz
'x,y,z'
'-x,-y,-z'
'-x,y,-z+1/2'
'x,-y,z+1/2'
'x+1/2,y+1/2,z'
'-x+1/2,-y+1/2,-z'
'-x+1/2,y+1/2,-z+1/2'
'x+1/2,-y+1/2,z+1/2'
loop_
_atom_site_label
_atom_site_fract_x
_atom_site_fract_y
_atom_site_fract_z
Hg1 0.096 0.116 0.051
Hg2 0.167 0.493 0.593
Sb1 0.213 0.349 0.885
Br1 0.000 0.427 0.250
Br2 0.090 0.126 0.532
# ΔE to the lowest computed polymorph: 22.4 meV/atom
# E_form (uncorrected): -0.209 eV/atom
# crystal system: monoclinic
# density: 6.19 g/cm3
# total DFT energy (no corrections): -65.39 eV/cell


# PBE-GGA LaReB4, optimized geometry
data_LaReB4
_chemical_formula_sum 'La4 Re4 B16'
_cell_length_a 6.145
_cell_length_b 11.892
_cell_length_c 3.726
_cell_angle_alpha 90.00
_cell_angle_beta 90.00
_cell_angle_gamma 90.00
_symmetry_space_group_name_H-M 'P b a m'
_symmetry_Int_Tables_number 55
loop_
_symmetry_equiv_pos_as_xyz
'x,y,z'
'-x,-y,-z'
'-x,-y,z'
'x,y,-z'
'x+1/2,-y+1/2,-z'
'-x+1/2,y+1/2,z'
'-x+1/2,y+1/2,-z'
'x+1/2,-y+1/2,z'
loop_
_atom_site_label
_atom_site_fract_x
_atom_site_fract_y
_atom_site_fract_z
La1 0.123 0.151 0.000
Re1 0.128 0.415 0.000
B1 0.024 0.687 0.500
B2 0.111 0.545 0.500
B3 0.144 0.967 0.500
B4 0.222 0.819 0.500
# crystal system: orthorhombic
# E_form: -0.45 eV/atom
# density: 8.99 g/cm3
# total DFT energy (no corrections): -187.15 eV/cell


# PBE-GGA CaNd2GaN4, optimized geometry
data_CaNd2GaN4
_chemical_formula_sum 'Ca4 Nd8 Ga4 N16'
_cell_length_a 3.536
_cell_length_b 11.967
_cell_length_c 12.196
_cell_angle_alpha 90.00
_cell_angle_beta 90.00
_cell_angle_gamma 90.00
_symmetry_space_group_name_H-M 'C m c m'
_symmetry_Int_Tables_number 63
_symmetry_space_group_name_Hall '-C 2c 2'
loop_
_atom_site_label
_atom_site_fract_x
_atom_site_fract_y
_atom_site_fract_z
Ca1 0.000 0.103 0.250
Nd1 0.000 0.368 0.047
Ga1 0.000 0.162 0.750
N1 0.000 0.000 0.000
N2 0.000 0.261 0.624
N3 0.000 0.433 0.250
# E_form (uncorrected): -0.762 eV/atom
# crystal system: orthorhombic
# density: 5.85 g/cm3
# total DFT energy (no corrections): -215.86 eV/cell


# PBE-GGA Ti3BeCu, optimized geometry
data_Ti3BeCu
_chemical_formula_sum 'Ti3 Be1 Cu1'
_cell_length_a 4.547
_cell_length_b 4.547
_cell_length_c 4.547
_cell_angle_alpha 90.00
_cell_angle_beta 90.00
_cell_angle_gamma 90.00
_symmetry_space_group_name_H-M 'P m -3 m'
_symmetry_Int_Tables_number 221
_symmetry_space_group_name_Hall '-P 4 2 3'
loop_
_atom_site_label
_atom_site_fract_x
_atom_site_fract_y
_atom_site_fract_z
Ti1 0.000 0.000 0.500
Be1 0.500 0.500 0.500
Cu1 0.000 0.000 0.000
# ΔE to the lowest computed polymorph: 381.2 meV/atom
# crystal system: cubic
# E_form: 0.89 eV/atom
# density: 3.82 g/cm3
# total DFT energy (no corrections): -27.04 eV/cell


# PBE-GGA Ce2SeO, optimized geometry
data_Ce2SeO
_chemical_formula_sum 'Ce6 Se3 O3'
_cell_length_a 3.7922
_cell_length_b 3.7922
_cell_length_c 19.6966
_cell_angle_alpha 90.00
_cell_angle_beta 90.00
_cell_angle_gamma 120.00
_symmetry_space_group_name_H-M 'R -3 m'
_symmetry_Int_Tables_number 166
_symmetry_space_group_name_Hall '-R 3 2"'
loop_
_atom_site_label
_atom_site_fract_x
_atom_site_fract_y
_atom_site_fract_z
Ce1 0.0000 0.0000 0.2339
Se1 0.0000 0.0000 0.0000
O1 0.0000 0.0000 0.5000
# ΔE to the lowest computed polymorph: 0.0 meV/atom
# E_form (uncorrected): -2.228 eV/atom
# crystal system: trigonal
# density: 7.62 g/cm3
# total DFT energy (no corrections): -87.66 eV/cell


# PBE-GGA TmTh2Bi2Te2, optimized geometry
data_TmTh2Bi2Te2
_chemical_formula_sum 'Tm2 Th4 Bi4 Te4'
_cell_length_a 5.800
_cell_length_b 5.800
_cell_length_c 15.646
_cell_angle_alpha 90.00
_cell_angle_beta 90.00
_cell_angle_gamma 90.00
_symmetry_space_group_name_H-M 'I 4/m m m'
_symmetry_Int_Tables_number 139
_symmetry_space_group_name_Hall '-I 4 2'
loop_
_atom_site_label
_atom_site_fract_x
_atom_site_fract_y
_atom_site_fract_z
Tm1 0.000 0.000 0.000
Th1 0.000 0.000 0.386
Bi1 0.000 0.500 0.000
Te1 0.000 0.000 0.192
# E_form (uncorrected): -0.454 eV/atom
# crystal system: tetragonal
# density: 8.24 g/cm3
# total DFT energy (no corrections): -73.06 eV/cell


# PBE-GGA BeBW, optimized geometry
data_BeBW
_chemical_formula_sum 'Be4 B4 W4'
_cell_length_a 8.314
_cell_length_b 3.148
_cell_length_c 5.499
_cell_angle_alpha 90.00
_cell_angle_beta 126.41
_cell_angle_gamma 90.00
_symmetry_space_group_name_H-M 'C 1 2/m 1'
_symmetry_Int_Tables_number 12
loop_
_symmetry_equiv_pos_as_xyz
'x,y,z'
'-x,-y,-z'
'-x,y,-z'
'x,-y,z'
'x+1/2,y+1/2,z'
'-x+1/2,-y+1/2,-z'
'-x+1/2,y+1/2,-z'
'x+1/2,-y+1/2,z'
loop_
_atom_site_label
_atom_site_fract_x
_atom_site_fract_y
_atom_site_fract_z
Be1 0.195 0.000 0.090
B1 0.131 0.000 0.669
W1 0.074 0.500 0.320
# crystal system: monoclinic
# E_form: -0.28 eV/atom
# density: 11.68 g/cm3
# total DFT energy (no corrections): -96.81 eV/cell